This record from Alexandria via LeMat-Bulk describes a relaxed Er6Al2Bi crystal. The functional is PBE.

a b c (Å): 8.6843 8.6843 8.6843
angles (deg): 113.95 111.96 102.71
Fractional coordinates of all 18 atoms:
Er  0.0203  0.8193  0.2010
Er  0.2419  0.5362  0.2942
Er  0.2419  0.9477  0.7058
Er  0.2784  0.3121  0.5905
Er  0.2784  0.6879  0.9663
Er  0.3817  0.1807  0.2010
Er  0.6183  0.8193  0.7990
Er  0.7216  0.3121  0.0337
Er  0.7216  0.6879  0.4095
Er  0.7581  0.0523  0.2942
Er  0.7581  0.4638  0.7058
Er  0.9797  0.1807  0.7990
Al  0.0000  0.1428  0.1428
Al  0.0000  0.8572  0.8572
Al  0.3817  0.3817  0.0000
Al  0.6183  0.6183  0.0000
Bi  0.0000  0.5000  0.5000
Bi  0.5000  0.0000  0.5000

Properties
- energy (Ha/atom) = -0.1702